The following is a PBE-GGA calculation of a relaxed structure of PmHoZr, from Alexandria.

Summary:
total energy = -5.83 eV/atom
SG = P2_1/m, No. 11
DOS(E_F) = 1.307 states/eV/atom
energy of formation from the pure elements = 0.13 eV per atom

Cell lengths 3.3825, 4.8864, 10.5602 Å; angles 90.00, 99.15, 90.00 degrees
Last column: nearest neighbours and their distance in Å.
Positions (direct):
Pm: 0.0530 0.2500 0.1004  4 Pm 3.22-3.38, 1 Zr 3.42, 4 Ho 3.46
Pm: 0.9470 0.7500 0.8996  4 Pm 3.22-3.38, 1 Zr 3.42, 4 Ho 3.46
Ho: 0.3624 0.2500 0.7297  5 Zr 3.14-3.40, 2 Ho 3.38, 4 Pm 3.46
Ho: 0.6376 0.7500 0.2703  5 Zr 3.14-3.40, 2 Ho 3.38, 4 Pm 3.46
Zr: 0.2156 0.2500 0.4285  5 Ho 3.14-3.40, 6 Zr 3.32-3.38, 1 Pm 3.42
Zr: 0.7844 0.7500 0.5715  5 Ho 3.14-3.40, 6 Zr 3.32-3.38, 1 Pm 3.42

***

The following is a PBE-GGA calculation of a relaxed structure of InMo3Cl, from Alexandria.

Summary:
total energy = -4.75 eV/atom
SG = Pm-3m, No. 221
DOS(E_F) = 1.921 states/eV/atom
uncorrected formation energy = 2.668 eV per atom

Cell lengths 5.0099, 5.0099, 5.0099 Å; angles 90.00, 90.00, 90.00 degrees
Last column: nearest neighbours and their distance in Å.
Positions (direct):
In: 0.0000 0.0000 0.0000  6 Mo 2.50
Mo: 0.0000 0.0000 0.5000  2 In 2.50
Mo: 0.0000 0.5000 0.0000  2 In 2.50
Mo: 0.5000 0.0000 0.0000  2 In 2.50
Cl: 0.5000 0.5000 0.5000  12 Mo 3.54

***

The following is a PBE-GGA calculation of a relaxed structure of CePm2As3Rh4, from Alexandria.

Summary:
total energy = -6.83 eV/atom
SG = P-4m2, No. 115
DOS(E_F) = 0.758 states/eV/atom
energy of formation from the pure elements = -0.95 eV per atom

Cell lengths 4.1825, 4.1825, 11.2761 Å; angles 90.00, 90.00, 90.00 degrees
Last column: nearest neighbours and their distance in Å.
Positions (direct):
Ce: 0.0000 0.0000 0.0000  4 Rh 2.70, 4 As 2.96
Pm: 0.0000 0.5000 0.7155  4 As 3.11, 8 Rh 3.21-3.32
Pm: 0.5000 0.0000 0.2845  4 As 3.11, 8 Rh 3.21-3.32
As: 0.0000 0.5000 0.3690  5 Rh 2.45-2.56
As: 0.5000 0.0000 0.6310  5 Rh 2.45-2.56
As: 0.5000 0.5000 0.0000  4 Rh 2.70, 4 Ce 2.96
Rh: 0.0000 0.0000 0.5000  4 As 2.56
Rh: 0.0000 0.5000 0.1514  3 As 2.45-2.70, 2 Ce 2.70
Rh: 0.5000 0.0000 0.8486  3 As 2.45-2.70, 2 Ce 2.70
Rh: 0.5000 0.5000 0.5000  4 As 2.56

***

The following is a PBE-GGA calculation of a relaxed structure of TbAl2Fe, from Alexandria.

Summary:
total energy = -5.04 eV/atom
SG = R-3m, No. 166
DOS(E_F) = 0.925 states/eV/atom
energy of formation from the pure elements = 0.10 eV per atom

Cell lengths 9.1557, 9.1557, 9.1557 Å; angles 19.26, 19.26, 19.26 degrees
Last column: nearest neighbours and their distance in Å.
Positions (direct):
Tb: 0.0000 0.0000 0.0000  6 Tb 3.06, 6 Al 3.24
Al: 0.2326 0.2326 0.2326  3 Fe 2.51
Al: 0.7674 0.7674 0.7674  3 Fe 2.51
Fe: 0.5000 0.5000 0.5000  6 Al 2.51

***

The following is a PBE-GGA calculation of a relaxed structure of CsTlSn3, from Alexandria.

Summary:
total energy = -1.87 eV/atom
SG = Pm-3m, No. 221
DOS(E_F) = 0.838 states/eV/atom
energy of formation from the pure elements = 1.18 eV per atom

Cell lengths 6.2437, 6.2437, 6.2437 Å; angles 90.00, 90.00, 90.00 degrees
Last column: nearest neighbours and their distance in Å.
Positions (direct):
Cs: 0.0000 0.0000 0.0000  6 Sn 3.12
Tl: 0.5000 0.5000 0.5000  12 Sn 4.41
Sn: 0.0000 0.0000 0.5000  2 Cs 3.12
Sn: 0.0000 0.5000 0.0000  2 Cs 3.12
Sn: 0.5000 0.0000 0.0000  2 Cs 3.12

***

The following is a PBE-GGA calculation of a relaxed structure of Ba2CaZr, from Alexandria.

Summary:
total energy = -3.09 eV/atom
SG = C2/m, No. 12
DOS(E_F) = 1.693 states/eV/atom
energy of formation from the pure elements = 0.51 eV per atom

Cell lengths 6.5963, 6.5963, 6.8006 Å; angles 99.69, 99.69, 33.38 degrees
Last column: nearest neighbours and their distance in Å.
Positions (direct):
Ba: 0.2365 0.2365 0.2310  3 Zr 3.65-3.92, 6 Ba 3.74-4.08, 3 Ca 3.77-3.99
Ba: 0.7635 0.7635 0.7690  3 Zr 3.65-3.92, 6 Ba 3.74-4.08, 3 Ca 3.77-3.99
Ca: 0.0000 0.0000 0.5000  6 Ba 3.77-3.99, 2 Ca 3.79, 4 Zr 3.89
Zr: 0.5000 0.5000 0.0000  6 Ba 3.65-3.92, 2 Zr 3.79, 4 Ca 3.89

***

The following is a PBE-GGA calculation of a relaxed structure of Ac2SiAgPd6, from Alexandria.

Summary:
total energy = -5.44 eV/atom
SG = C2/m, No. 12
DOS(E_F) = 0.357 states/eV/atom
uncorrected formation energy = -0.676 eV per atom

Cell lengths 6.5496, 6.5496, 8.5656 Å; angles 126.22, 126.22, 50.57 degrees
Last column: nearest neighbours and their distance in Å.
Positions (direct):
Ac: 0.2369 0.2369 0.2074  7 Pd 3.09-3.43
Ac: 0.7631 0.7631 0.7926  7 Pd 3.09-3.43
Si: 0.0000 0.0000 0.5000  6 Pd 2.39-2.47
Ag: 0.5000 0.5000 0.0000  6 Pd 2.71-2.73
Pd: 0.2477 0.2477 0.5974  1 Si 2.47, 1 Ag 2.71
Pd: 0.2528 0.7455 0.2746  1 Si 2.39
Pd: 0.2545 0.7472 0.7254  1 Si 2.39
Pd: 0.7455 0.2528 0.2746  1 Si 2.39
Pd: 0.7472 0.2545 0.7254  1 Si 2.39
Pd: 0.7523 0.7523 0.4026  1 Si 2.47, 1 Ag 2.71

***

The following is a PBE-GGA calculation of a relaxed structure of YTm12Th6, from Alexandria.

Summary:
total energy = -4.98 eV/atom
SG = R-3m, No. 166
DOS(E_F) = 1.668 states/eV/atom
energy of formation from the pure elements = 0.53 eV per atom

Cell lengths 9.2452, 9.2452, 9.2452 Å; angles 107.15, 107.15, 107.15 degrees
Last column: nearest neighbours and their distance in Å.
Positions (direct):
Y: 0.0000 0.0000 0.0000  6 Tm 3.24
Tm: 0.0884 0.3253 0.3253  1 Y 3.24, 4 Th 3.30-3.56, 4 Tm 3.38-3.52
Tm: 0.1119 0.5000 0.8881  5 Tm 3.33-3.70, 4 Th 3.41-3.54
Tm: 0.1119 0.8881 0.5000  5 Tm 3.33-3.70, 4 Th 3.41-3.54
Tm: 0.3253 0.0884 0.3253  1 Y 3.24, 4 Th 3.30-3.56, 4 Tm 3.38-3.52
Tm: 0.3253 0.3253 0.0884  1 Y 3.24, 4 Th 3.30-3.56, 4 Tm 3.38-3.52
Tm: 0.5000 0.1119 0.8881  5 Tm 3.33-3.70, 4 Th 3.41-3.54
Tm: 0.5000 0.8881 0.1119  5 Tm 3.33-3.70, 4 Th 3.41-3.54
Tm: 0.6747 0.6747 0.9116  1 Y 3.24, 4 Th 3.30-3.56, 4 Tm 3.38-3.52
Tm: 0.6747 0.9116 0.6747  1 Y 3.24, 4 Th 3.30-3.56, 4 Tm 3.38-3.52
Tm: 0.8881 0.1119 0.5000  5 Tm 3.33-3.70, 4 Th 3.41-3.54
Tm: 0.8881 0.5000 0.1119  5 Tm 3.33-3.70, 4 Th 3.41-3.54
Tm: 0.9116 0.6747 0.6747  1 Y 3.24, 4 Th 3.30-3.56, 4 Tm 3.38-3.52
Th: 0.2929 0.6720 0.6720  8 Tm 3.30-3.56, 2 Th 3.39
Th: 0.3280 0.3280 0.7071  8 Tm 3.30-3.56, 2 Th 3.39
Th: 0.3280 0.7071 0.3280  8 Tm 3.30-3.56, 2 Th 3.39
Th: 0.6720 0.2929 0.6720  8 Tm 3.30-3.56, 2 Th 3.39
Th: 0.6720 0.6720 0.2929  8 Tm 3.30-3.56, 2 Th 3.39
Th: 0.7071 0.3280 0.3280  8 Tm 3.30-3.56, 2 Th 3.39